No. 1
Dy3HfIn3Se8 | PBE | optimized geometry

Space group: R-3m, No. 166
M_tot, μB per formula unit: 0.00
Formation energy without anion corrections, eV per formula unit: -19.70
Volume, Å³/cell: 445.6

Cell: 9.0912 9.0912 9.0912 Å, 53.11 53.11 53.11°
Fractional positions:
Dy (0.0000, 0.5000, 0.5000)
Dy (0.5000, 0.0000, 0.5000)
Dy (0.5000, 0.5000, 0.0000)
Hf (0.0000, 0.0000, 0.0000)
In (0.0000, 0.0000, 0.5000)
In (0.0000, 0.5000, 0.0000)
In (0.5000, 0.0000, 0.0000)
Se (0.2252, 0.2252, 0.7519)
Se (0.2252, 0.7519, 0.2252)
Se (0.2481, 0.7748, 0.7748)
Se (0.2635, 0.2635, 0.2635)
Se (0.7365, 0.7365, 0.7365)
Se (0.7519, 0.2252, 0.2252)
Se (0.7748, 0.2481, 0.7748)
Se (0.7748, 0.7748, 0.2481)

---

No. 2
VHSeS | PBE | optimized geometry

Electronic total energy, eV/atom: -5.598
Space group: R3m, No. 160
M_tot, μB per formula unit: 0.00
Volume, Å³/cell: 61.0

Cell: 7.1136 7.1136 7.1136 Å, 26.00 26.00 26.00°
Fractional positions:
V (0.0000, 0.0000, 0.0000)
H (0.3368, 0.3368, 0.3368)
Se (0.7508, 0.7508, 0.7508)
S (0.5922, 0.5922, 0.5922)

---

No. 3
Li2ZrHg | PBE | optimized geometry

Space group: Pm, No. 6
Formation enthalpy at 0 K, eV per formula unit: 0.0
M_tot, μB per formula unit: 0.00
Volume, Å³/cell: 80.6

Cell: 2.9082 4.7447 6.0097 Å, 90.00 103.57 90.00°
Fractional positions:
Li (0.0000, 0.0000, 0.0000)
Li (0.4041, 0.5000, 0.8131)
Zr (0.6716, 0.5000, 0.3358)
Hg (0.2701, 0.0000, 0.5380)

---

No. 4
TbNdY2 | PBE | optimized geometry

Space group: P4/mmm, No. 123
Formation enthalpy at 0 K, eV per formula unit: 0.1
M_tot, μB per formula unit: 0.00
Volume, Å³/cell: 131.6

Cell: 3.5956 3.5956 10.1827 Å, 90.00 90.00 90.00°
Fractional positions:
Tb (0.0000, 0.0000, 0.0000)
Nd (0.0000, 0.0000, 0.5000)
Y (0.5000, 0.5000, 0.2460)
Y (0.5000, 0.5000, 0.7540)